# TlCd12Ag6 PBE optimized geometry
# - electronic total energy (eV/cell) = -89.26
# - mass density (Mg/m³) = 8.335
# - energy relative to the elements (eV per atom) = 0.04
data_TlCd12Ag6
_cell_length_a 12.7012
_cell_length_b 12.7012
_cell_length_c 9.4143
_cell_angle_alpha 90.00
_cell_angle_beta 90.00
_cell_angle_gamma 120.00
_space_group_name_H-M_alt 'R -3 m'
_space_group_IT_number 166
_space_group_name_Hall '-R 3 2"'
loop_
_atom_site_label
_atom_site_type_symbol
_atom_site_fract_x
_atom_site_fract_y
_atom_site_fract_z
Tl1 Tl 0.0000 0.0000 0.0000
Cd1 Cd 0.0000 0.3857 0.5000
Cd2 Cd 0.0848 0.1697 0.2864
Ag1 Ag 0.0670 0.5335 0.2380